[1]
! PBE-GGA Pm2NiIr2, optimized geometry; values from VASP
! energy relative to the elements = -56.4 kJ per mole of atoms
! space group = Immm (71)
&SYSTEM
  ibrav = 0, nat = 5, ntyp = 3
/
ATOMIC_SPECIES
Pm 145.00 Pm.upf
Ni 58.69 Ni.upf
Ir 192.22 Ir.upf
ATOMIC_POSITIONS crystal
Pm 0.196 0.196 0.000
Pm 0.804 0.804 0.000
Ni 0.500 0.000 0.500
Ir 0.250 0.500 0.750
Ir 0.750 0.500 0.250
CELL_PARAMETERS angstrom
-2.134 2.792 4.294
2.134 -2.792 4.294
2.134 2.792 -4.294

[2]
! PBE-GGA LuTiPbAu, optimized geometry; values from VASP
! energy relative to the elements = -28.6 kJ per mole of atoms
! space group = F-43m (216)
&SYSTEM
  ibrav = 0, nat = 4, ntyp = 4
/
ATOMIC_SPECIES
Lu 174.97 Lu.upf
Ti 47.87 Ti.upf
Pb 207.20 Pb.upf
Au 196.97 Au.upf
ATOMIC_POSITIONS crystal
Lu 0.000 0.000 0.000
Ti 0.500 0.500 0.500
Pb 0.750 0.750 0.750
Au 0.250 0.250 0.250
CELL_PARAMETERS angstrom
0.000 3.527 3.527
3.527 0.000 3.527
3.527 3.527 0.000

| no. | total DFT energy (no corrections) (eV/atom) | Fermi-level density of states (states/eV/atom) |
| --- | --- | --- |
| 1 | -7.19 | 0.6069 |
| 2 | -5.15 | 0.7272 |